Record 1
DFT (PBE) results for crystalline TiTl2InO4 at its relaxed geometry.

```
data_TiTl2InO4
_chemical_formula_sum 'Ti2 Tl4 In2 O8'
_space_group_name_H-M_alt 'P m n 21'
_space_group_IT_number 31
_cell_length_a 6.819
_cell_length_b 8.184
_cell_length_c 5.626
_cell_angle_alpha 90.00
_cell_angle_beta 90.00
_cell_angle_gamma 90.00
loop_
_space_group_symop_operation_xyz
'x,y,z'
'-x+1/2,-y,z+1/2'
'-x,y,z'
'x+1/2,-y,z+1/2'
loop_
_atom_site_label
_atom_site_type_symbol
_atom_site_fract_x
_atom_site_fract_y
_atom_site_fract_z
Ti1 Ti 0.000 0.124 0.000
Tl1 Tl 0.250 0.373 0.518
In1 In 0.000 0.873 0.503
O1 O 0.000 0.100 0.678
O2 O 0.000 0.923 0.136
O3 O 0.229 0.234 0.087
```

***

Record 2
DFT (PBE) results for crystalline Ti2TlInO6 at its relaxed geometry.

```
data_Ti2TlInO6
_chemical_formula_sum 'Ti8 Tl4 In4 O24'
_space_group_name_H-M_alt 'C 1 2/c 1'
_space_group_IT_number 15
_cell_length_a 9.502
_cell_length_b 12.168
_cell_length_c 6.431
_cell_angle_alpha 90.00
_cell_angle_beta 111.85
_cell_angle_gamma 90.00
loop_
_space_group_symop_operation_xyz
'x,y,z'
'-x,-y,-z'
'-x,y,-z+1/2'
'x,-y,z+1/2'
'x+1/2,y+1/2,z'
'-x+1/2,-y+1/2,-z'
'-x+1/2,y+1/2,-z+1/2'
'x+1/2,-y+1/2,z+1/2'
loop_
_atom_site_label
_atom_site_type_symbol
_atom_site_fract_x
_atom_site_fract_y
_atom_site_fract_z
Ti1 Ti 0.140 0.072 0.159
Tl1 Tl 0.000 0.400 0.250
In1 In 0.000 0.295 0.750
O1 O 0.083 0.207 0.042
O2 O 0.115 0.033 0.438
O3 O 0.153 0.411 0.723
```

***

Record order is preserved below.
E_form (uncorrected): -1633, -2251 meV/atom